Arrangement i

# YRuI2O, optimized geometry, DFT PBE
data_YRuI2O
_space_group_name_H-M_alt 'P 4/m m m'
_space_group_IT_number 123
_space_group_name_Hall '-P 4 2'
_cell_length_a 5.6734
_cell_length_b 5.6734
_cell_length_c 3.7575
_cell_angle_alpha 90.00
_cell_angle_beta 90.00
_cell_angle_gamma 90.00
loop_
_atom_site_label
_atom_site_type_symbol
_atom_site_fract_x
_atom_site_fract_y
_atom_site_fract_z
_atom_site_occupancy
Y1 Y 0.0000 0.0000 0.0000 1
Ru1 Ru 0.5000 0.5000 0.5000 1
I1 I 0.0000 0.5000 0.5000 1
O1 O 0.5000 0.5000 0.0000 1
# M_tot: 0.000 μB/atom
# N(E_F): 5.36 states/eV/cell



Arrangement ii

# YRuI2O, optimized geometry, DFT PBE
data_YRuI2O
_space_group_name_H-M_alt 'P 4/m m m'
_space_group_IT_number 123
_space_group_name_Hall '-P 4 2'
_cell_length_a 6.1395
_cell_length_b 6.1395
_cell_length_c 4.1440
_cell_angle_alpha 90.00
_cell_angle_beta 90.00
_cell_angle_gamma 90.00
loop_
_atom_site_label
_atom_site_type_symbol
_atom_site_fract_x
_atom_site_fract_y
_atom_site_fract_z
_atom_site_occupancy
Y1 Y 0.0000 0.0000 0.0000 1
Ru1 Ru 0.5000 0.5000 0.5000 1
I1 I 0.0000 0.5000 0.0000 1
O1 O 0.0000 0.0000 0.5000 1
# M_tot: 0.609 μB/atom
# N(E_F): 1.32 states/eV/cell



Best to worst by energy: arrangement i, arrangement ii.



Arrangement i

# ZrRuI2O, optimized geometry, DFT PBE
data_ZrRuI2O
_space_group_name_H-M_alt 'P 4/m m m'
_space_group_IT_number 123
_space_group_name_Hall '-P 4 2'
_cell_length_a 5.8336
_cell_length_b 5.8336
_cell_length_c 3.9671
_cell_angle_alpha 90.00
_cell_angle_beta 90.00
_cell_angle_gamma 90.00
loop_
_atom_site_label
_atom_site_type_symbol
_atom_site_fract_x
_atom_site_fract_y
_atom_site_fract_z
_atom_site_occupancy
Zr1 Zr 0.0000 0.0000 0.0000 1
Ru1 Ru 0.5000 0.5000 0.5000 1
I1 I 0.0000 0.5000 0.0000 1
O1 O 0.0000 0.0000 0.5000 1
# M_tot: 0.601 μB/atom
# N(E_F): 5.06 states/eV/cell



Arrangement ii

# ZrRuI2O, optimized geometry, DFT PBE
data_ZrRuI2O
_space_group_name_H-M_alt 'P 4/m m m'
_space_group_IT_number 123
_space_group_name_Hall '-P 4 2'
_cell_length_a 5.5868
_cell_length_b 5.5868
_cell_length_c 3.7077
_cell_angle_alpha 90.00
_cell_angle_beta 90.00
_cell_angle_gamma 90.00
loop_
_atom_site_label
_atom_site_type_symbol
_atom_site_fract_x
_atom_site_fract_y
_atom_site_fract_z
_atom_site_occupancy
Zr1 Zr 0.0000 0.0000 0.0000 1
Ru1 Ru 0.5000 0.5000 0.5000 1
I1 I 0.0000 0.5000 0.5000 1
O1 O 0.5000 0.5000 0.0000 1
# M_tot: 0.369 μB/atom
# N(E_F): 6.27 states/eV/cell



Best to worst by energy: arrangement i, arrangement ii.



Arrangement i

# S2IO, optimized geometry, DFT PBE
data_S2IO
_space_group_name_H-M_alt 'F m -3 m'
_space_group_IT_number 225
_space_group_name_Hall '-F 4 2 3'
_cell_length_a 6.4259
_cell_length_b 6.4259
_cell_length_c 6.4259
_cell_angle_alpha 90.00
_cell_angle_beta 90.00
_cell_angle_gamma 90.00
loop_
_atom_site_label
_atom_site_type_symbol
_atom_site_fract_x
_atom_site_fract_y
_atom_site_fract_z
_atom_site_occupancy
S1 S 0.2500 0.2500 0.2500 1
I1 I 0.0000 0.0000 0.0000 1
O1 O 0.0000 0.0000 0.5000 1
# M_tot: 0.000 μB/atom
# N(E_F): 12.95 states/eV/cell



Arrangement ii

# S2IO, optimized geometry, DFT PBE
data_S2IO
_space_group_name_H-M_alt 'I 41/a m d'
_space_group_IT_number 141
_cell_length_a 5.3136
_cell_length_b 5.3136
_cell_length_c 11.9082
_cell_angle_alpha 90.00
_cell_angle_beta 90.00
_cell_angle_gamma 90.00
loop_
_space_group_symop_operation_xyz
'x,y,z'
'-x,-y,-z'
'-y+1/4,x+3/4,z+1/4'
'y+1/4,-x+3/4,-z+1/4'
'-x+1/2,-y,z+1/2'
'x+1/2,y,-z+1/2'
'y+1/4,-x+1/4,z+3/4'
'-y+1/4,x+1/4,-z+3/4'
'x,-y,-z'
'-x,y,z'
'-y+1/4,-x+1/4,-z+3/4'
'y+1/4,x+1/4,z+3/4'
'-x+1/2,y,-z+1/2'
'x+1/2,-y,z+1/2'
'y+1/4,x+3/4,-z+1/4'
'-y+1/4,-x+3/4,z+1/4'
'x+1/2,y+1/2,z+1/2'
'-x+1/2,-y+1/2,-z+1/2'
'-y+3/4,x+1/4,z+3/4'
'y+3/4,-x+1/4,-z+3/4'
'-x,-y+1/2,z'
'x,y+1/2,-z'
'y+3/4,-x+3/4,z+1/4'
'-y+3/4,x+3/4,-z+1/4'
'x+1/2,-y+1/2,-z+1/2'
'-x+1/2,y+1/2,z+1/2'
'-y+3/4,-x+3/4,-z+1/4'
'y+3/4,x+3/4,z+1/4'
'-x,y+1/2,-z'
'x,-y+1/2,z'
'y+3/4,x+1/4,-z+3/4'
'-y+3/4,-x+1/4,z+3/4'
loop_
_atom_site_label
_atom_site_type_symbol
_atom_site_fract_x
_atom_site_fract_y
_atom_site_fract_z
_atom_site_occupancy
S1 S 0.0000 0.0000 0.0000 1
I1 I 0.0000 0.2500 0.3750 1
O1 O 0.0000 0.2500 0.8750 1
# M_tot: 0.000 μB/atom
# N(E_F): 28.25 states/eV/cell



Arrangement iii

# S2IO, optimized geometry, DFT PBE
data_S2IO
_space_group_name_H-M_alt 'R -3 m'
_space_group_IT_number 166
_space_group_name_Hall '-R 3 2"'
_cell_length_a 3.9819
_cell_length_b 3.9819
_cell_length_c 22.7391
_cell_angle_alpha 90.00
_cell_angle_beta 90.00
_cell_angle_gamma 120.00
loop_
_atom_site_label
_atom_site_type_symbol
_atom_site_fract_x
_atom_site_fract_y
_atom_site_fract_z
_atom_site_occupancy
S1 S 0.0000 0.0000 0.0710 1
I1 I 0.0000 0.0000 0.5000 1
O1 O 0.0000 0.0000 0.0000 1
# M_tot: 0.000 μB/atom
# N(E_F): 12.34 states/eV/cell



Best to worst by energy: arrangement iii, arrangement ii, arrangement i.



Arrangement i

# S3IO, optimized geometry, DFT PBE
data_S3IO
_space_group_name_H-M_alt 'P m -3 m'
_space_group_IT_number 221
_space_group_name_Hall '-P 4 2 3'
_cell_length_a 4.4218
_cell_length_b 4.4218
_cell_length_c 4.4218
_cell_angle_alpha 90.00
_cell_angle_beta 90.00
_cell_angle_gamma 90.00
loop_
_atom_site_label
_atom_site_type_symbol
_atom_site_fract_x
_atom_site_fract_y
_atom_site_fract_z
_atom_site_occupancy
S1 S 0.0000 0.0000 0.5000 1
I1 I 0.5000 0.5000 0.5000 1
O1 O 0.0000 0.0000 0.0000 1
# M_tot: 0.000 μB/atom
# N(E_F): 4.68 states/eV/cell



Arrangement ii

# S3IO, optimized geometry, DFT PBE
data_S3IO
_space_group_name_H-M_alt 'P m -3 m'
_space_group_IT_number 221
_space_group_name_Hall '-P 4 2 3'
_cell_length_a 5.0539
_cell_length_b 5.0539
_cell_length_c 5.0539
_cell_angle_alpha 90.00
_cell_angle_beta 90.00
_cell_angle_gamma 90.00
loop_
_atom_site_label
_atom_site_type_symbol
_atom_site_fract_x
_atom_site_fract_y
_atom_site_fract_z
_atom_site_occupancy
S1 S 0.0000 0.0000 0.5000 1
I1 I 0.0000 0.0000 0.0000 1
O1 O 0.5000 0.5000 0.5000 1
# M_tot: 0.000 μB/atom
# N(E_F): 17.75 states/eV/cell



Best to worst by energy: arrangement i, arrangement ii.